Entry 1:
A plane-wave DFT calculation with SCAN was carried out for MoOsSe2 at its PBEsol-relaxed geometry.

Cell: 2.9483 2.9483 7.8768 Å, 90.00 90.00 90.00°
Fractional positions:
1 Se 0.5000 0.5000 0.3132
2 Se 0.0000 0.0000 0.9369
3 Mo 0.0000 0.0000 0.5019
4 Os 0.5000 0.5000 0.7479

Output
Space-group type = P4mm
Raw total energy = -36.684 eV/atom
Uncorrected formation energy = 46 meV/atom
Total magnetization = 0.00 μB/cell
Polymorph energy (0 for the lowest one) = 0 meV/atom

Entry 2:
A plane-wave DFT calculation with SCAN was carried out for Mo2OsSe at its PBEsol-relaxed geometry.

Cell: 2.8688 4.0311 5.3727 Å, 90.00 105.48 90.00°
Fractional positions:
1 Mo 0.4318 0.5000 0.8636
2 Mo 0.0788 0.0000 0.1576
3 Os 0.8190 0.0000 0.6380
4 Se 0.6729 0.5000 0.3458

Output
Space-group type = Amm2
Raw total energy = -40.129 eV/atom
Uncorrected formation energy = 303 meV/atom
Total magnetization = 0.00 μB/cell

Entry 3:
A plane-wave DFT calculation with SCAN was carried out for MoOs2Se at its PBEsol-relaxed geometry.

Cell: 2.9159 2.9159 6.7774 Å, 90.00 90.00 90.00°
Fractional positions:
1 Os 0.0000 0.0000 0.9987
2 Os 0.5000 0.5000 0.2611
3 Se 0.0000 0.0000 0.5052
4 Mo 0.5000 0.5000 0.7350

Output
Space-group type = P4mm
Raw total energy = -49.274 eV/atom
Uncorrected formation energy = 407 meV/atom
Total magnetization = 0.00 μB/cell

Entry 4:
A plane-wave DFT calculation with SCAN was carried out for Mo2OsSe at its PBEsol-relaxed geometry.

Cell: 2.9701 4.4353 4.8729 Å, 95.29 107.74 90.00°
Fractional positions:
1 Mo 0.7643 0.7690 0.5286
2 Mo 0.2357 0.2310 0.4714
3 Os 0.5000 0.0000 0.0000
4 Se 0.0000 0.5000 0.0000

Output
Space-group type = C2/m
Raw total energy = -40.035 eV/atom
Uncorrected formation energy = 397 meV/atom
Total magnetization = 0.00 μB/cell

Entry 5:
A plane-wave DFT calculation with SCAN was carried out for MoOsSe2 at its PBEsol-relaxed geometry.

Cell: 3.0278 4.3354 5.4265 Å, 113.54 106.20 90.00°
Fractional positions:
1 Mo 0.4939 0.4939 0.9878
2 Se 0.9834 0.9834 0.9668
3 Se 0.7597 0.2597 0.5194
4 Os 0.2630 0.7630 0.5260

Output
Space-group type = Imm2
Raw total energy = -36.154 eV/atom
Uncorrected formation energy = 577 meV/atom
Total magnetization = 0.00 μB/cell
Polymorph energy (0 for the lowest one) = 531 meV/atom

Entry 6:
A plane-wave DFT calculation with SCAN was carried out for MoOsSe2 at its PBEsol-relaxed geometry.

Cell: 3.9657 3.9657 4.8599 Å, 114.08 114.08 90.00°
Fractional positions:
1 Mo 0.5000 0.5000 0.0000
2 Os 0.2500 0.7500 0.5000
3 Se 0.0000 0.0000 0.0000
4 Se 0.7500 0.2500 0.5000

Output
Space-group type = I-4m2
Raw total energy = -35.938 eV/atom
Uncorrected formation energy = 793 meV/atom
Total magnetization = 0.00 μB/cell
Polymorph energy (0 for the lowest one) = 747 meV/atom

Entry 7:
A plane-wave DFT calculation with SCAN was carried out for MoOsSe2 at its PBEsol-relaxed geometry.

Cell: 3.0103 3.0240 8.1933 Å, 90.00 90.00 119.85°
Fractional positions:
1 Se 0.0000 0.0000 0.2486
2 Se 0.0000 0.0000 0.7514
3 Os 0.5000 0.0000 0.0000
4 Mo 0.5000 0.0000 0.5000

Output
Space-group type = Cmmm
Raw total energy = -35.723 eV/atom
Uncorrected formation energy = 1007 meV/atom
Total magnetization = 0.00 μB/cell
Polymorph energy (0 for the lowest one) = 961 meV/atom

Entry 8:
A plane-wave DFT calculation with SCAN was carried out for Mo2OsSe at its PBEsol-relaxed geometry.

Cell: 2.8827 4.0069 5.2058 Å, 90.00 90.00 90.00°
Fractional positions:
1 Mo 0.0000 0.0000 0.7567
2 Mo 0.0000 0.0000 0.2433
3 Se 0.5000 0.5000 0.5000
4 Os 0.5000 0.5000 0.0000

Output
Space-group type = Pmmm
Raw total energy = -40.088 eV/atom
Uncorrected formation energy = 344 meV/atom
Total magnetization = 0.00 μB/cell

Entry 9:
A plane-wave DFT calculation with SCAN was carried out for SiMoOs2 at its PBEsol-relaxed geometry.

Cell: 3.7108 3.7108 4.8069 Å, 112.70 112.70 90.00°
Fractional positions:
1 Os 0.0000 0.0000 0.0000
2 Os 0.7500 0.2500 0.5000
3 Si 0.5000 0.5000 0.0000
4 Mo 0.2500 0.7500 0.5000

Output
Space-group type = I-4m2
Raw total energy = -47.143 eV/atom
Uncorrected formation energy = 22 meV/atom
Total magnetization = 0.00 μB/cell

Entry 10:
A plane-wave DFT calculation with SCAN was carried out for SiMoOs2 at its PBEsol-relaxed geometry.

Cell: 2.8576 4.3796 4.4673 Å, 90.00 90.00 90.00°
Fractional positions:
1 Si 0.5000 0.5000 0.0000
2 Os 0.0000 0.0000 0.0000
3 Os 0.5000 0.0000 0.5000
4 Mo 0.0000 0.5000 0.5000

Output
Space-group type = Pmmm
Raw total energy = -47.030 eV/atom
Uncorrected formation energy = 135 meV/atom
Total magnetization = 0.00 μB/cell

Entry 11:
A plane-wave DFT calculation with SCAN was carried out for SiMoOs at its PBEsol-relaxed geometry.

Cell: 2.8847 2.8847 5.2877 Å, 105.83 105.83 90.00°
Fractional positions:
1 Os 0.6802 0.6802 0.3604
2 Mo 0.9942 0.9942 0.9883
3 Si 0.3256 0.3256 0.6513

Output
Space-group type = I4mm
Raw total energy = -39.265 eV/atom
Uncorrected formation energy = -338 meV/atom
Total magnetization = 0.00 μB/cell

Entry 12:
A plane-wave DFT calculation with SCAN was carried out for SiMoOs at its PBEsol-relaxed geometry.

Cell: 2.7979 4.1545 4.1545 Å, 120.00 90.00 90.00°
Fractional positions:
1 Os 0.5000 0.6667 0.3333
2 Mo 0.0000 0.0000 0.0000
3 Si 0.5000 0.3333 0.6667

Output
Space-group type = P-6m2
Raw total energy = -39.222 eV/atom
Uncorrected formation energy = -295 meV/atom
Total magnetization = 0.00 μB/cell

Entry 13:
A plane-wave DFT calculation with SCAN was carried out for SiMo2Os at its PBEsol-relaxed geometry.

Cell: 2.7984 4.7695 4.7695 Å, 116.40 90.00 90.00°
Fractional positions:
1 Mo 0.0000 0.5000 0.0000
2 Mo 0.0000 0.0000 0.5000
3 Si 0.5000 0.5000 0.5000
4 Os 0.5000 0.0000 0.0000

Output
Space-group type = Cmmm
Raw total energy = -37.924 eV/atom
Uncorrected formation energy = -7 meV/atom
Total magnetization = 0.00 μB/cell

Entry 14:
A plane-wave DFT calculation with SCAN was carried out for Si2MoOs at its PBEsol-relaxed geometry.

Cell: 2.9522 2.9522 6.0367 Å, 90.00 90.00 90.00°
Fractional positions:
1 Si 0.0000 0.0000 0.2572
2 Si 0.0000 0.0000 0.7428
3 Mo 0.5000 0.5000 0.0000
4 Os 0.5000 0.5000 0.5000

Output
Space-group type = P4/mmm
Raw total energy = -31.958 eV/atom
Uncorrected formation energy = -259 meV/atom
Total magnetization = 0.00 μB/cell

Entry 15:
A plane-wave DFT calculation with SCAN was carried out for SiMoOs2 at its PBEsol-relaxed geometry.

Cell: 2.8639 2.8639 6.6464 Å, 90.00 90.00 90.00°
Fractional positions:
1 Mo 0.5000 0.5000 0.5000
2 Os 0.0000 0.0000 0.7803
3 Os 0.0000 0.0000 0.2197
4 Si 0.5000 0.5000 0.0000

Output
Space-group type = P4/mmm
Raw total energy = -47.451 eV/atom
Uncorrected formation energy = -286 meV/atom
Total magnetization = 0.00 μB/cell

Entry 16:
A plane-wave DFT calculation with SCAN was carried out for SiMoOs2 at its PBEsol-relaxed geometry.

Cell: 2.7723 2.7723 8.4797 Å, 80.59 80.59 60.00°
Fractional positions:
1 Os 0.7553 0.7553 0.7340
2 Os 0.2447 0.2447 0.2660
3 Mo 0.0000 0.0000 0.0000
4 Si 0.5000 0.5000 0.5000

Output
Space-group type = R-3m
Raw total energy = -47.182 eV/atom
Uncorrected formation energy = -16 meV/atom
Total magnetization = 0.00 μB/cell

Entry 17:
A plane-wave DFT calculation with SCAN was carried out for Si2MoOs at its PBEsol-relaxed geometry.

Cell: 2.8338 3.8046 5.1865 Å, 90.00 90.03 90.00°
Fractional positions:
1 Si 0.9990 0.0000 0.7660
2 Si 0.0010 0.0000 0.2340
3 Os 0.0000 0.5000 0.5000
4 Mo 0.5000 0.5000 0.0000

Output
Space-group type = Pmmm
Raw total energy = -31.798 eV/atom
Uncorrected formation energy = -99 meV/atom
Total magnetization = 0.00 μB/cell

Entry 18:
A plane-wave DFT calculation with SCAN was carried out for Si2MoOs at its PBEsol-relaxed geometry.

Cell: 4.1993 4.1993 4.1993 Å, 60.00 60.00 60.00°
Fractional positions:
1 Os 0.0000 0.0000 0.0000
2 Si 0.2500 0.2500 0.2500
3 Si 0.7500 0.7500 0.7500
4 Mo 0.5000 0.5000 0.5000

Output
Space-group type = Fm-3m
Raw total energy = -31.951 eV/atom
Uncorrected formation energy = -252 meV/atom
Total magnetization = 0.00 μB/cell

Entry 19:
A plane-wave DFT calculation with SCAN was carried out for SiMoOs2 at its PBEsol-relaxed geometry.

Cell: 2.8467 4.4137 5.0944 Å, 115.67 106.22 90.00°
Fractional positions:
1 Mo 0.0000 0.5000 0.0000
2 Os 0.2220 0.2220 0.4440
3 Os 0.7780 0.7780 0.5560
4 Si 0.5000 0.0000 0.0000

Output
Space-group type = Immm
Raw total energy = -47.348 eV/atom
Uncorrected formation energy = -182 meV/atom
Total magnetization = 0.00 μB/cell

Entry 20:
A plane-wave DFT calculation with SCAN was carried out for SnMo3Os at its PBEsol-relaxed geometry.

Cell: 4.7002 4.7002 4.7002 Å, 90.00 90.00 90.00°
Fractional positions:
1 Mo 0.5000 0.0000 0.0000
2 Mo 0.0000 0.0000 0.5000
3 Mo 0.0000 0.5000 0.0000
4 Sn 0.0000 0.0000 0.0000
5 Os 0.5000 0.5000 0.5000

Output
Space-group type = Pm-3m
Raw total energy = -39.615 eV/atom
Total magnetization = 0.00 μB/cell

Entry 21:
A plane-wave DFT calculation with SCAN was carried out for SnMoOs3 at its PBEsol-relaxed geometry.

Cell: 4.6555 4.6555 4.6555 Å, 90.00 90.00 90.00°
Fractional positions:
1 Mo 0.0000 0.0000 0.0000
2 Os 0.5000 0.0000 0.0000
3 Os 0.0000 0.5000 0.0000
4 Os 0.0000 0.0000 0.5000
5 Sn 0.5000 0.5000 0.5000

Output
Space-group type = Pm-3m
Raw total energy = -55.142 eV/atom
Total magnetization = 0.00 μB/cell

Entry 22:
A plane-wave DFT calculation with SCAN was carried out for Sr2MoOs at its PBEsol-relaxed geometry.

Cell: 5.1125 5.1125 5.1125 Å, 60.00 60.00 60.00°
Fractional positions:
1 Sr 0.7500 0.7500 0.7500
2 Sr 0.2500 0.2500 0.2500
3 Mo 0.0000 0.0000 0.0000
4 Os 0.5000 0.5000 0.5000

Output
Space-group type = Fm-3m
Raw total energy = -36.498 eV/atom
Total magnetization = 3.98 μB/cell
Polymorph energy (0 for the lowest one) = 836 meV/atom

Entry 23:
A plane-wave DFT calculation with SCAN was carried out for SrMo3Os at its PBEsol-relaxed geometry.

Cell: 4.5260 4.5260 4.5260 Å, 90.00 90.00 90.00°
Fractional positions:
1 Os 0.5000 0.5000 0.5000
2 Sr 0.0000 0.0000 0.0000
3 Mo 0.0000 0.0000 0.5000
4 Mo 0.0000 0.5000 0.0000
5 Mo 0.5000 0.0000 0.0000

Output
Space-group type = Pm-3m
Raw total energy = -36.169 eV/atom
Total magnetization = 0.00 μB/cell

Entry 24:
A plane-wave DFT calculation with SCAN was carried out for Sr2MoOs at its PBEsol-relaxed geometry.

Cell: 4.9405 4.9405 4.9405 Å, 60.00 60.00 60.00°
Fractional positions:
1 Mo 0.5000 0.5000 0.5000
2 Sr 0.0000 0.0000 0.0000
3 Sr 0.7500 0.7500 0.7500
4 Os 0.2500 0.2500 0.2500

Output
Space-group type = F-43m
Raw total energy = -36.660 eV/atom
Total magnetization = 0.00 μB/cell
Polymorph energy (0 for the lowest one) = 674 meV/atom

Entry 25:
A plane-wave DFT calculation with SCAN was carried out for Sr2MoOs at its PBEsol-relaxed geometry.

Cell: 2.9528 5.1473 5.5126 Å, 90.00 90.94 90.00°
Fractional positions:
1 Mo 0.5000 0.5000 0.0000
2 Sr 0.9946 0.0000 0.7466
3 Sr 0.0054 0.0000 0.2534
4 Os 0.5000 0.5000 0.5000

Output
Space-group type = P2/m
Raw total energy = -36.587 eV/atom
Total magnetization = 0.42 μB/cell
Polymorph energy (0 for the lowest one) = 747 meV/atom

Entry 26:
A plane-wave DFT calculation with SCAN was carried out for Sr2MoOs at its PBEsol-relaxed geometry.

Cell: 3.3704 3.8249 9.3352 Å, 101.82 100.40 90.00°
Fractional positions:
1 Sr 0.3533 0.3533 0.7065
2 Sr 0.6467 0.6467 0.2935
3 Os 0.0000 0.5000 0.0000
4 Mo 0.5000 0.0000 0.0000

Output
Space-group type = Immm
Raw total energy = -37.334 eV/atom
Total magnetization = 0.02 μB/cell
Polymorph energy (0 for the lowest one) = 0 meV/atom

Entry 27:
A plane-wave DFT calculation with SCAN was carried out for Ta4MoOs at its PBEsol-relaxed geometry.

Cell: 5.2610 5.2610 5.2610 Å, 60.00 60.00 60.00°
Fractional positions:
1 Ta 0.3750 0.3750 0.3750
2 Ta 0.3750 0.3750 0.8749
3 Ta 0.3750 0.8749 0.3750
4 Ta 0.8749 0.3750 0.3750
5 Mo 0.7500 0.7500 0.7500
6 Os 0.0000 0.0000 0.0000

Output
Space-group type = F-43m
Raw total energy = -61.734 eV/atom
Total magnetization = 0.01 μB/cell

Entry 28:
A plane-wave DFT calculation with SCAN was carried out for Ta2TcMoOs at its PBEsol-relaxed geometry.

Cell: 4.5765 4.7390 4.7390 Å, 90.00 90.00 90.00°
Fractional positions:
1 Os 0.0000 0.0000 0.0000
2 Ta 0.0000 0.0000 0.5000
3 Ta 0.0000 0.5000 0.0000
4 Tc 0.5000 0.5000 0.5000
5 Mo 0.5000 0.0000 0.0000

Output
Space-group type = P4/mmm
Raw total energy = -53.402 eV/atom
Total magnetization = 1.47 μB/cell

Entry 29:
A plane-wave DFT calculation with SCAN was carried out for Te2MoOs at its PBEsol-relaxed geometry.

Cell: 2.9773 3.8997 7.5815 Å, 90.00 99.71 90.00°
Fractional positions:
1 Mo 0.4608 0.0000 0.5490
2 Te 0.1541 0.0000 0.9328
3 Te 0.8599 0.5000 0.3307
4 Os 0.0252 0.5000 0.6875

Output
Space-group type = Pm
Raw total energy = -45.071 eV/atom
Uncorrected formation energy = 246 meV/atom
Total magnetization = 0.00 μB/cell
Polymorph energy (0 for the lowest one) = 0 meV/atom

Entry 30:
A plane-wave DFT calculation with SCAN was carried out for Te2MoOs at its PBEsol-relaxed geometry.

Cell: 3.2086 4.1147 6.6392 Å, 108.05 103.98 90.00°
Fractional positions:
1 Te 0.7180 0.2180 0.4360
2 Te 0.9616 0.9616 0.9232
3 Os 0.2523 0.7523 0.5045
4 Mo 0.5681 0.5681 0.1362

Output
Space-group type = Imm2
Raw total energy = -44.704 eV/atom
Uncorrected formation energy = 613 meV/atom
Total magnetization = 0.00 μB/cell
Polymorph energy (0 for the lowest one) = 367 meV/atom

Entry 31:
A plane-wave DFT calculation with SCAN was carried out for TeMo2Os at its PBEsol-relaxed geometry.

Cell: 3.8622 3.8622 5.0551 Å, 112.46 112.46 90.00°
Fractional positions:
1 Mo 0.7500 0.2500 0.5000
2 Mo 0.2500 0.7500 0.5000
3 Os 0.5000 0.5000 0.0000
4 Te 0.0000 0.0000 0.0000

Output
Space-group type = I4/mmm
Raw total energy = -44.256 eV/atom
Uncorrected formation energy = 469 meV/atom
Total magnetization = 0.00 μB/cell